PmHo4ScS8 GGA-PBE relaxed; total magnetic moment = 0.000 μB per atom; uncorrected formation energy = -43.87 kcal/mol of atoms; crystal system = trigonal
1.0
-0.2506 -2.2171 7.7311
6.6529 -2.7086 3.6264
3.6116 4.3529 5.5529
S Sc Ho Pm
8 1 4 1
Direct
0.7865 0.2319 0.7498
0.2319 0.7865 0.7498
0.2319 0.2319 0.7498
0.7634 0.7634 0.2485
0.2246 0.7634 0.2485
0.2412 0.2412 0.2763
0.7634 0.2246 0.2485
0.7564 0.7564 0.7309
0.9992 0.9992 0.0023
0.9997 0.5006 0.5000
0.6221 0.6221 0.1338
0.9997 0.9997 0.5000
0.5006 0.9997 0.5000
0.3794 0.3794 0.8617

---

Pm2HoScS4 GGA-PBE relaxed; total magnetic moment = 0.000 μB per atom; uncorrected formation energy = -45.31 kcal/mol of atoms; crystal system = monoclinic
1.0
3.8615 0.0000 0.0000
0.0000 6.7229 0.1227
0.0000 -2.3445 6.4961
S Pm Ho Sc
4 2 1 1
Direct
0.5000 0.2353 0.2264
0.0000 0.2500 0.7690
0.0000 0.7500 0.2310
0.5000 0.7647 0.7736
0.5000 0.0000 0.5000
0.0000 0.5000 0.5000
0.5000 0.5000 0.0000
0.0000 0.0000 0.0000

---

Pm3Ho3ScS8 GGA-PBE relaxed; total magnetic moment = 0.000 μB per atom; uncorrected formation energy = -46.95 kcal/mol of atoms; crystal system = trigonal
1.0
-4.4755 5.7293 -2.8982
-2.6965 -4.5229 5.7904
5.7422 5.2280 1.4685
Pm S Ho Sc
3 8 3 1
Direct
0.0000 0.0000 0.0000
0.5000 0.5000 0.0000
0.0000 0.5000 0.0000
0.7455 0.4911 0.7366
0.2404 0.9914 0.7318
0.7510 0.9914 0.7318
0.2490 0.0086 0.2682
0.2404 0.4808 0.7318
0.7596 0.0086 0.2682
0.2545 0.5089 0.2634
0.7596 0.5192 0.2682
0.0000 0.5000 0.5000
0.5000 0.0000 0.5000
0.5000 0.5000 0.5000
0.0000 0.0000 0.5000

---

PmHo2Sc3S6 GGA-PBE relaxed; total magnetic moment = 0.000 μB per atom; uncorrected formation energy = -44.24 kcal/mol of atoms; crystal system = monoclinic
1.0
3.8003 0.0000 0.0000
0.0000 7.6681 0.2646
-1.9002 -2.2227 8.0094
Ho S Sc Pm
2 6 3 1
Direct
0.1656 0.3310 0.3313
0.8344 0.6690 0.6687
0.6739 0.0780 0.3477
0.6642 0.5908 0.3284
0.3261 0.9220 0.6523
0.3358 0.4092 0.6716
0.0028 0.7322 0.0056
0.9972 0.2678 0.9944
0.5000 0.5000 0.0000
0.1645 0.8344 0.3290
0.8355 0.1656 0.6710
0.5000 0.0000 0.0000

---

Pm2Ho3ScS6 GGA-PBE relaxed; total magnetic moment = 0.000 μB per atom; uncorrected formation energy = -45.19 kcal/mol of atoms; crystal system = monoclinic
1.0
3.8960 0.0000 0.0000
0.0000 7.8567 0.2824
-1.9480 -2.2620 8.1967
S Ho Pm Sc
6 3 2 1
Direct
0.9958 0.2392 0.9915
0.0042 0.7608 0.0085
0.6632 0.5912 0.3263
0.6618 0.0715 0.3236
0.3382 0.9285 0.6764
0.3368 0.4088 0.6737
0.8304 0.1658 0.6608
0.5000 0.5000 0.0000
0.1696 0.8342 0.3392
0.8333 0.6661 0.6666
0.1667 0.3339 0.3334
0.5000 0.0000 0.0000

---

Pm3Ho2ScS6 GGA-PBE relaxed; total magnetic moment = 0.000 μB per atom; uncorrected formation energy = -45.66 kcal/mol of atoms; crystal system = monoclinic
1.0
3.8973 0.0000 0.0000
0.0000 7.9373 0.2032
-1.9487 -2.3704 8.2635
S Ho Sc Pm
6 2 1 3
Direct
0.9982 0.7679 0.9963
0.6701 0.5752 0.3401
0.6593 0.0890 0.3187
0.0018 0.2321 0.0037
0.3299 0.4248 0.6599
0.3407 0.9110 0.6813
0.8345 0.6684 0.6691
0.1655 0.3316 0.3309
0.5000 0.0000 0.0000
0.5000 0.5000 0.0000
0.8321 0.1651 0.6643
0.1679 0.8349 0.3357

---

Pm2HoSe2S2 GGA-PBE relaxed; total magnetic moment = 0.000 μB per atom; uncorrected formation energy = -37.17 kcal/mol of atoms; crystal system = tetragonal
1.0
5.0517 0.0000 0.0000
0.0000 5.0517 0.0000
-2.5259 -2.5259 7.4278
Pm Ho S Se
2 1 2 2
Direct
0.6225 0.6225 0.2450
0.3775 0.3775 0.7550
0.0000 0.0000 0.0000
0.0000 0.5000 0.0000
0.5000 0.0000 0.0000
0.1866 0.1866 0.3732
0.8134 0.8134 0.6268

---

PmHoSeS GGA-PBE relaxed; total magnetic moment = 0.000 μB per atom; uncorrected formation energy = -43.54 kcal/mol of atoms; crystal system = trigonal
1.0
-0.5185 3.3733 -1.9571
-1.5321 -3.3439 -1.4005
-5.0541 0.0577 5.3918
Se Ho S Pm
1 1 1 1
Direct
0.9745 0.3852 0.3747
0.4869 0.1414 0.6439
0.2981 0.5470 0.8605
0.1184 0.9572 0.0906

---

Pm2Ho2Se3S2 GGA-PBE relaxed; total magnetic moment = 0.000 μB per atom; uncorrected formation energy = -35.36 kcal/mol of atoms; crystal system = tetragonal
1.0
5.6065 0.0000 0.0000
0.0000 5.6065 0.0000
-2.8032 -2.8032 7.1943
S Ho Se Pm
2 2 3 2
Direct
0.4026 0.4026 0.8052
0.5974 0.5974 0.1948
0.5000 0.0000 0.0000
0.0000 0.5000 0.0000
0.7500 0.2500 0.5000
0.2500 0.7500 0.5000
0.0000 0.0000 0.0000
0.2115 0.2115 0.4229
0.7885 0.7885 0.5771

---

PmHoSiS GGA-PBE relaxed; total magnetic moment = 0.000 μB per atom; uncorrected formation energy = -31.29 kcal/mol of atoms; crystal system = trigonal
1.0
4.0634 0.0000 0.0000
2.0317 3.5190 0.0000
2.0317 1.1730 6.7282
S Ho Pm Si
1 1 1 1
Direct
0.4473 0.4473 0.6581
0.1941 0.1941 0.4177
0.6936 0.6936 0.9191
0.9414 0.9414 0.1759

---

Pm3SmHo3S8 GGA-PBE relaxed; total magnetic moment = 0.000 μB per atom; uncorrected formation energy = -47.17 kcal/mol of atoms; crystal system = trigonal
1.0
-7.8246 -0.9502 -0.2705
4.6783 -4.5254 -4.4535
-0.1478 -1.0234 7.8680
S Pm Sm Ho
8 3 1 3
Direct
0.2617 0.0091 0.2565
0.7474 0.0091 0.2565
0.2526 0.9909 0.7435
0.2544 0.5088 0.2632
0.7456 0.4912 0.7368
0.2526 0.5052 0.7435
0.7383 0.9909 0.7435
0.7474 0.4948 0.2565
0.0000 0.0000 0.0000
0.0000 0.5000 0.0000
0.5000 0.5000 0.0000
0.0000 0.0000 0.5000
0.5000 0.0000 0.5000
0.0000 0.5000 0.5000
0.5000 0.5000 0.5000

---

PmSm3Ho3S8 GGA-PBE relaxed; total magnetic moment = 0.000 μB per atom; uncorrected formation energy = -47.05 kcal/mol of atoms; crystal system = trigonal
1.0
7.8760 0.0000 0.0000
-3.9380 6.8207 -0.0237
0.0000 -4.5247 6.4857
Ho S Sm Pm
3 8 3 1
Direct
0.5000 0.0000 0.5000
0.0000 0.5000 0.5000
0.5000 0.5000 0.5000
0.7463 0.4927 0.7390
0.2619 0.0076 0.2534
0.7458 0.4915 0.2534
0.2542 0.9924 0.7466
0.7381 0.9924 0.7466
0.7458 0.0076 0.2534
0.2542 0.5085 0.7466
0.2537 0.5073 0.2610
0.0000 0.5000 0.0000
0.5000 0.5000 0.0000
0.0000 0.0000 0.0000
0.0000 0.0000 0.5000

---

Pm3Sm4HoS8 GGA-PBE relaxed; total magnetic moment = 0.000 μB per atom; uncorrected formation energy = -46.46 kcal/mol of atoms; crystal system = trigonal
1.0
8.0119 0.0000 0.0000
0.0000 8.0062 -0.0090
-4.0059 -4.0015 5.6678
Pm S Sm Ho
3 8 4 1
Direct
0.5000 0.5000 0.5000
0.5000 0.5000 0.0000
0.0000 0.5000 0.5000
0.7509 0.7525 0.5017
0.7545 0.2529 0.9984
0.7546 0.2530 0.5092
0.7562 0.7471 0.0016
0.2454 0.7470 0.4908
0.2455 0.7471 0.0016
0.2491 0.2475 0.4983
0.2438 0.2529 0.9984
0.0000 0.0000 0.5000
0.5000 0.0000 0.0000
0.5000 0.0000 0.5000
0.0000 0.0000 0.0000
0.0000 0.5000 0.0000

---

Pm3SmHo4S8 GGA-PBE relaxed; total magnetic moment = 0.000 μB per atom; uncorrected formation energy = -46.22 kcal/mol of atoms; crystal system = trigonal
1.0
-5.7919 -4.9324 1.9869
4.0109 -2.0642 6.5676
-1.5845 7.5811 -1.3566
Ho S Pm Sm
4 8 3 1
Direct
0.0000 0.0000 0.5000
0.5000 0.0000 0.5000
0.0000 0.0000 0.0000
0.5000 0.0000 0.0000
0.2449 0.2347 0.4898
0.7558 0.7645 0.0102
0.2544 0.7645 0.0102
0.2442 0.2355 0.9898
0.7456 0.2354 0.4912
0.2544 0.7646 0.5088
0.7551 0.7653 0.5102
0.7456 0.2355 0.9898
0.0000 0.5000 0.5000
0.5000 0.5000 0.0000
0.5000 0.5000 0.5000
0.0000 0.5000 0.0000

---

Pm4SmHo3S8 GGA-PBE relaxed; total magnetic moment = 0.000 μB per atom; uncorrected formation energy = -46.31 kcal/mol of atoms; crystal system = trigonal
1.0
7.9231 0.0000 0.0000
0.0000 7.9825 0.0361
-3.9615 -3.9576 5.6054
Pm Sm S Ho
4 1 8 3
Direct
0.0000 0.0000 0.0000
0.0000 0.0000 0.5000
0.5000 0.0000 0.0000
0.5000 0.0000 0.5000
0.0000 0.5000 0.0000
0.7405 0.7388 0.9896
0.2491 0.7387 0.4982
0.7509 0.2612 0.0104
0.7509 0.2613 0.5018
0.7449 0.7348 0.4898
0.2551 0.2652 0.5102
0.2491 0.7388 0.9896
0.2595 0.2612 0.0104
0.5000 0.5000 0.5000
0.5000 0.5000 0.0000
0.0000 0.5000 0.5000

---

PmSmHo2S4 GGA-PBE relaxed; total magnetic moment = 0.000 μB per atom; uncorrected formation energy = -46.22 kcal/mol of atoms; crystal system = monoclinic
1.0
-1.3093 -3.2416 -1.7366
6.5400 -2.1539 -0.9102
1.8834 -3.6656 5.4225
Sm Pm S Ho
1 1 4 2
Direct
0.0000 0.5000 0.5000
0.5000 0.5000 0.0000
0.0000 0.7640 0.7442
0.5000 0.2367 0.7537
0.0000 0.2360 0.2558
0.5000 0.7633 0.2463
0.5000 0.0000 0.5000
0.0000 0.0000 0.0000

---

Pm4SmHoS8 GGA-PBE relaxed; total magnetic moment = 0.000 μB per atom; uncorrected formation energy = -44.25 kcal/mol of atoms; crystal system = trigonal
1.0
-8.1140 -0.5943 -1.2752
-5.1384 -0.6408 6.4034
-4.9463 6.2811 1.9549
S Sm Pm Ho
8 1 4 1
Direct
0.7579 0.7579 0.7263
0.2450 0.7627 0.7472
0.2450 0.2450 0.7472
0.2250 0.7592 0.2566
0.7592 0.7592 0.2566
0.2460 0.2460 0.2620
0.7627 0.2450 0.7472
0.7592 0.2250 0.2566
0.0012 0.0012 0.9964
0.0011 0.0011 0.5011
0.4966 0.0011 0.5011
0.6248 0.6248 0.1257
0.0011 0.4966 0.5011
0.3750 0.3750 0.8749

---

Pm2Sm3HoS6 GGA-PBE relaxed; total magnetic moment = 0.000 μB per atom; uncorrected formation energy = -46.62 kcal/mol of atoms; crystal system = monoclinic
1.0
6.9305 -0.0112 -0.0008
-3.4733 5.9973 -0.0008
-1.1541 -1.9983 6.5208
Ho Pm Sm S
1 2 3 6
Direct
0.0000 0.0000 0.0000
0.6671 0.3329 0.0000
0.3329 0.6671 0.0000
0.1706 0.8294 0.5000
0.8294 0.1706 0.5000
0.5000 0.5000 0.5000
0.2417 0.2417 0.7505
0.4070 0.0820 0.2463
0.7583 0.7583 0.2495
0.5930 0.9180 0.7537
0.9180 0.5930 0.7537
0.0820 0.4070 0.2463

---

PmSm4HoS8 GGA-PBE relaxed; total magnetic moment = 0.000 μB per atom; uncorrected formation energy = -44.25 kcal/mol of atoms; crystal system = trigonal
1.0
8.2086 0.0000 0.0000
4.1043 7.1089 0.0000
4.1043 2.3696 6.7056
S Sm Ho Pm
8 4 1 1
Direct
0.7571 0.7571 0.2593
0.7580 0.7580 0.7260
0.2465 0.2465 0.7438
0.7571 0.2265 0.2593
0.2465 0.7632 0.7438
0.2265 0.7571 0.2593
0.7632 0.2465 0.7438
0.2452 0.2452 0.2644
0.4972 0.0009 0.5010
0.0009 0.4972 0.5010
0.6250 0.6250 0.1251
0.0009 0.0009 0.5010
0.3749 0.3749 0.8754
0.0010 0.0010 0.9969

---

Pm3Sm2HoS6 GGA-PBE relaxed; total magnetic moment = 0.000 μB per atom; uncorrected formation energy = -46.68 kcal/mol of atoms; crystal system = monoclinic
1.0
6.9317 -0.0114 -0.0010
-3.4741 5.9983 -0.0010
-1.1544 -1.9989 6.5388
Pm S Ho Sm
3 6 1 2
Direct
0.8300 0.1700 0.5000
0.5000 0.5000 0.5000
0.1700 0.8300 0.5000
0.4070 0.0808 0.2427
0.0808 0.4070 0.2427
0.2443 0.2443 0.7545
0.7557 0.7557 0.2455
0.5930 0.9192 0.7573
0.9192 0.5930 0.7573
0.0000 0.0000 0.0000
0.3330 0.6670 0.0000
0.6670 0.3330 0.0000

---

PmSm2HoS4 GGA-PBE relaxed; total magnetic moment = 0.000 μB per atom; uncorrected formation energy = -46.34 kcal/mol of atoms; crystal system = monoclinic
1.0
-3.9290 -0.1557 -0.3266
0.6266 -3.9942 -5.6333
-0.3057 -4.0451 5.6061
S Sm Pm Ho
4 2 1 1
Direct
0.5000 0.7592 0.7577
0.0000 0.7558 0.2473
0.5000 0.2408 0.2423
0.0000 0.2442 0.7527
0.5000 0.0000 0.5000
0.0000 0.5000 0.5000
0.5000 0.5000 0.0000
0.0000 0.0000 0.0000